# 1
This record from the Alexandria database describes a relaxed CaNi2W crystal. The functional is PBE.

The space group is Fm-3m (No. 225) and the conventional cell measures 6.306, 6.306 and 6.306 Å, with angles of 90.00, 90.00 and 90.00 degrees. The asymmetric unit holds Ca at (0.000, 0.000, 0.000), Ni at (0.250, 0.250, 0.250) and W at (0.000, 0.000, 0.500).

For the total energy, the calculation gives -6.137 eV/atom. For the spin magnetization, the calculation gives 0.000 μB per formula unit. The calculation puts the distance to the lowest polymorph of the same formula at 336 meV/atom.



# 2
This record from the Alexandria database describes a relaxed MnIn2Rh crystal. The functional is PBE.

The space group is Pmm2 (No. 25) and the conventional cell measures 3.125, 4.635 and 4.840 Å, with angles of 90.00, 90.00 and 90.00 degrees. The asymmetric unit holds Mn at (0.000, 0.000, 0.000), In at (0.500, 0.000, 0.515), In at (0.500, 0.500, 0.107) and Rh at (0.000, 0.500, 0.628).

For the total energy, the calculation gives -5.552 eV/atom. For the spin magnetization, the calculation gives 3.557 μB per formula unit.



# 3
This record from the Alexandria database describes a relaxed Dy2ZnCo crystal. The functional is PBE.

The space group is P4/mmm (No. 123) and the conventional cell measures 3.405, 3.405 and 7.166 Å, with angles of 90.00, 90.00 and 90.00 degrees. The asymmetric unit holds Dy at (0.000, 0.000, 0.228), Zn at (0.500, 0.500, 0.500) and Co at (0.500, 0.500, 0.000).

For the total energy, the calculation gives -4.653 eV/atom. For the spin magnetization, the calculation gives 0.484 μB per formula unit. The calculation puts the distance to the lowest polymorph of the same formula at 0 meV/atom.



# 4
This record from the Alexandria database describes a relaxed Ca2LaPbC crystal. The functional is PBE.

The space group is P4/mmm (No. 123) and the conventional cell measures 5.158, 5.158 and 4.965 Å, with angles of 90.00, 90.00 and 90.00 degrees. The asymmetric unit holds Ca at (0.000, 0.500, 0.000), La at (0.000, 0.000, 0.500), Pb at (0.500, 0.500, 0.500) and C at (0.000, 0.000, 0.000).

For the total energy, the calculation gives -4.669 eV/atom. For the spin magnetization, the calculation gives 0.308 μB per formula unit.



# 5
This record from the Alexandria database describes a relaxed SrYAl crystal. The functional is PBE.

The space group is I4/mmm (No. 139) and the conventional cell measures 5.094, 5.094 and 15.628 Å, with angles of 90.00, 90.00 and 90.00 degrees. The asymmetric unit holds Sr at (0.000, 0.000, 0.179), Y at (0.000, 0.500, 0.000) and Al at (0.000, 0.000, 0.391).

For the total energy, the calculation gives -4.116 eV/atom. For the spin magnetization, the calculation gives 0.000 μB per formula unit. The calculation puts the distance to the lowest polymorph of the same formula at 58 meV/atom.



# 6
This record from the Alexandria database describes a relaxed HoTm5Pd6 crystal. The functional is PBE.

The space group is C2/m (No. 12) and the conventional cell measures 15.635, 6.799 and 4.950 Å, with angles of 90.00, 108.35 and 90.00 degrees. The asymmetric unit holds Ho at (0.000, 0.000, 0.000), Tm at (0.000, 0.500, 0.000), Tm at (0.167, 0.000, 0.667), Tm at (0.167, 0.500, 0.667), Pd at (0.000, 0.252, 0.500) and Pd at (0.168, 0.251, 0.168).

For the total energy, the calculation gives -5.775 eV/atom. For the spin magnetization, the calculation gives 0.000 μB per formula unit.



# 7
This record from the Alexandria database describes a relaxed Tb5Pm2Sm3 crystal. The functional is PBE.

The space group is Ibam (No. 72) and the conventional cell measures 9.431, 21.880 and 6.878 Å, with angles of 90.00, 90.00 and 90.00 degrees. The asymmetric unit holds Tb at (0.000, 0.000, 0.250), Tb at (0.000, 0.249, 0.250), Tb at (0.091, 0.125, 0.000), Pm at (0.100, 0.374, 0.500), Sm at (0.000, 0.500, 0.250) and Sm at (0.249, 0.128, 0.500).

For the total energy, the calculation gives -4.296 eV/atom. For the spin magnetization, the calculation gives 0.000 μB per formula unit. The calculation puts the distance to the lowest polymorph of the same formula at 197 meV/atom.



# 8
This record from the Alexandria database describes a relaxed BeSi2Pb crystal. The functional is PBE.

The space group is Pm (No. 6) and the conventional cell measures 3.486, 3.477 and 6.447 Å, with angles of 90.00, 101.97 and 90.00 degrees. The asymmetric unit holds Be at (0.000, 0.000, 0.000), Si at (0.101, 0.500, 0.266), Si at (0.595, 0.000, 0.242) and Pb at (0.371, 0.500, 0.736).

For the total energy, the calculation gives -4.148 eV/atom. For the spin magnetization, the calculation gives 0.000 μB per formula unit. The calculation puts the distance to the lowest polymorph of the same formula at 60 meV/atom. For the uncorrected formation energy, the calculation gives 423 meV per atom.



# 9
This record from the Alexandria database describes a relaxed EuErPuIn crystal. The functional is PBE.

The space group is F-43m (No. 216) and the conventional cell measures 7.747, 7.747 and 7.747 Å, with angles of 90.00, 90.00 and 90.00 degrees. The asymmetric unit holds Eu at (0.000, 0.000, 0.000), Er at (0.000, 0.000, 0.500), Pu at (0.250, 0.250, 0.250) and In at (0.250, 0.250, 0.750).

For the total energy, the calculation gives -8.000 eV/atom. For the spin magnetization, the calculation gives 14.064 μB per formula unit.



# 10
This record from the Alexandria database describes a relaxed Nd5Tl2Sn2 crystal. The functional is PBE.

The space group is Cmce (No. 64) and the conventional cell measures 16.358, 8.346 and 8.361 Å, with angles of 90.00, 90.00 and 90.00 degrees. The asymmetric unit holds Nd at (0.000, 0.000, 0.000), Nd at (0.135, 0.181, 0.327), Tl at (0.212, 0.000, 0.000) and Sn at (0.000, 0.126, 0.629).

For the total energy, the calculation gives -4.608 eV/atom. For the spin magnetization, the calculation gives 0.000 μB per formula unit. The calculation puts the distance to the lowest polymorph of the same formula at 0 meV/atom.



# 11
This record from the Alexandria database describes a relaxed Na2SmPaSe4 crystal. The functional is PBE.

The space group is P2/m (No. 10) and the conventional cell measures 7.237, 4.138 and 7.493 Å, with angles of 90.00, 108.48 and 90.00 degrees. The asymmetric unit holds Na at (0.000, 0.000, 0.000), Na at (0.500, 0.500, 0.000), Sm at (0.000, 0.500, 0.500), Pa at (0.500, 0.000, 0.500), Se at (0.251, 0.000, 0.736) and Se at (0.258, 0.500, 0.263).

For the total energy, the calculation gives -5.312 eV/atom. For the spin magnetization, the calculation gives 1.920 μB per formula unit. For the uncorrected formation energy, the calculation gives -1463 meV per atom.



# 12
This record from the Alexandria database describes a relaxed FeHgSCl2 crystal. The functional is PBE.

The space group is P4/mmm (No. 123) and the conventional cell measures 4.836, 4.836 and 4.296 Å, with angles of 90.00, 90.00 and 90.00 degrees. The asymmetric unit holds Fe at (0.000, 0.000, 0.000), Hg at (0.500, 0.500, 0.500), S at (0.000, 0.000, 0.500) and Cl at (0.000, 0.500, 0.000).

For the total energy, the calculation gives -3.333 eV/atom. For the spin magnetization, the calculation gives 0.001 μB per formula unit. The calculation puts the distance to the lowest polymorph of the same formula at 0 meV/atom. For the uncorrected formation energy, the calculation gives -16 meV per atom.



| no. | V (Å³/atom) |
| --- | --- |
| 1 | 15.67 |
| 2 | 17.53 |
| 3 | 20.77 |
| 4 | 26.42 |
| 5 | 33.80 |
| 6 | 20.81 |
| 7 | 35.48 |
| 8 | 19.11 |
| 9 | 29.06 |
| 10 | 31.71 |
| 11 | 26.60 |
| 12 | 20.10 |